Material: MgFeSi2
Method: DFT, PBE
State: optimized geometry

V (Å³ per atom): 14.436
Uncorrected formation energy (eV per atom): -0.064
Raw total energy (eV per formula unit): -21.160
Fermi-level density of states (states/eV per atom): 0.35

Cell: 2.9146 2.9146 23.5479 Å, 90.00 90.00 120.00°
Space group R-3m (No. 166, hexagonal axes)
One atom of each set of equivalent atoms:
Mg (0.0000, 0.0000, 0.0000) [3 per cell]
Fe (0.0000, 0.0000, 0.5000) [3 per cell]
Si (0.0000, 0.0000, 0.2371) [6 per cell]

---

Material: MgFeSi
Method: DFT, PBE
State: optimized geometry

V (Å³ per atom): 14.669
Uncorrected formation energy (eV per atom): 0.113
Raw total energy (eV per formula unit): -15.142
Fermi-level density of states (states/eV per atom): 0.72

Cell: 2.8740 2.8740 6.1523 Å, 90.00 90.00 120.00°
Space group P3m1 (No. 156)
One atom of each set of equivalent atoms:
Mg (0.0000, 0.0000, 0.0000) [1 per cell]
Fe (0.3333, 0.6667, 0.6515) [1 per cell]
Si (0.6667, 0.3333, 0.3865) [1 per cell]

---

Material: MgFe2Si
Method: DFT, PBE
State: optimized geometry

V (Å³ per atom): 14.538
Uncorrected formation energy (eV per atom): 0.308
Raw total energy (eV per formula unit): -22.710
Fermi-level density of states (states/eV per atom): 0.60

Cell: 6.6828 6.6828 5.2086 Å, 90.00 90.00 90.00°
Space group I-42d (No. 122)
One atom of each set of equivalent atoms:
Mg (0.0000, 0.0000, 0.0000) [4 per cell]
Fe (0.2084, 0.2500, 0.6250) [8 per cell]
Si (0.0000, 0.0000, 0.5000) [4 per cell]

---

Material: MgFe2Si
Method: DFT, PBE
State: optimized geometry

V (Å³ per atom): 13.195
Uncorrected formation energy (eV per atom): 0.096
Raw total energy (eV per formula unit): -23.561
Fermi-level density of states (states/eV per atom): 0.70

Cell: 2.7140 2.7140 24.8225 Å, 90.00 90.00 120.00°
Space group R-3m (No. 166, hexagonal axes)
One atom of each set of equivalent atoms:
Mg (0.0000, 0.0000, 0.0000) [3 per cell]
Fe (0.0000, 0.0000, 0.2423) [6 per cell]
Si (0.0000, 0.0000, 0.5000) [3 per cell]

---

Material: MgFe2Si
Method: DFT, PBE
State: optimized geometry

V (Å³ per atom): 13.512
Uncorrected formation energy (eV per atom): -0.036
Raw total energy (eV per formula unit): -24.088
Fermi-level density of states (states/eV per atom): 0.70

Cell: 2.9976 2.9976 6.0151 Å, 90.00 90.00 90.00°
Space group P4mm (No. 99)
One atom of each set of equivalent atoms:
Mg (0.0000, 0.0000, 0.0000) [1 per cell]
Fe (0.0000, 0.0000, 0.5045) [1 per cell]
Fe (0.5000, 0.5000, 0.7216) [1 per cell]
Si (0.5000, 0.5000, 0.3124) [1 per cell]

---

Material: Mg2FeSi
Method: DFT, PBE
State: optimized geometry

V (Å³ per atom): 16.035
Uncorrected formation energy (eV per atom): 0.035
Raw total energy (eV per formula unit): -16.933
Fermi-level density of states (states/eV per atom): 0.57

Cell: 2.9630 4.1362 5.4361 Å, 90.00 105.69 90.00°
Space group Pm (No. 6)
One atom of each set of equivalent atoms:
Mg (0.0000, 0.0000, 0.0000) [1 per cell]
Mg (0.3376, 0.5000, 0.6762) [1 per cell]
Fe (0.7256, 0.0000, 0.4503) [1 per cell]
Si (0.6184, 0.5000, 0.2354) [1 per cell]

---

Material: Mg2FeSi
Method: DFT, PBE
State: optimized geometry

V (Å³ per atom): 15.259
Uncorrected formation energy (eV per atom): 0.083
Raw total energy (eV per formula unit): -16.744
Fermi-level density of states (states/eV per atom): 0.29

Cell: 3.9379 3.9379 7.8722 Å, 90.00 90.00 90.00°
Space group I-4m2 (No. 119)
One atom of each set of equivalent atoms:
Mg (0.0000, 0.0000, 0.0000) [2 per cell]
Mg (0.0000, 0.5000, 0.2500) [2 per cell]
Fe (0.0000, 0.0000, 0.5000) [2 per cell]
Si (0.0000, 0.5000, 0.7500) [2 per cell]

---

Material: MgFe2Si
Method: DFT, PBE
State: optimized geometry

V (Å³ per atom): 12.757
Uncorrected formation energy (eV per atom): 0.076
Raw total energy (eV per formula unit): -23.640
Fermi-level density of states (states/eV per atom): 0.73

Cell: 5.2471 7.6473 2.6060 Å, 90.00 102.59 90.00°
Space group C2/m (No. 12)
One atom of each set of equivalent atoms:
Mg (0.0000, 0.0000, 0.0000) [2 per cell]
Fe (0.2500, 0.2500, 0.5000) [4 per cell]
Si (0.0000, 0.5000, 0.0000) [2 per cell]

---

Material: MgFeSi2
Method: DFT, PBE
State: optimized geometry

V (Å³ per atom): 14.211
Uncorrected formation energy (eV per atom): 0.078
Raw total energy (eV per formula unit): -20.591
Fermi-level density of states (states/eV per atom): 0.47

Cell: 3.0006 4.6717 8.1099 Å, 90.00 90.00 90.00°
Space group Immm (No. 71)
One atom of each set of equivalent atoms:
Mg (0.0000, 0.0000, 0.0000) [2 per cell]
Fe (0.0000, 0.0000, 0.5000) [2 per cell]
Si (0.0000, 0.5000, 0.2240) [4 per cell]

---

Material: MgFeSi2
Method: DFT, PBE
State: optimized geometry

V (Å³ per atom): 13.176
Uncorrected formation energy (eV per atom): 0.163
Raw total energy (eV per formula unit): -20.253
Fermi-level density of states (states/eV per atom): 0.68

Cell: 3.7275 3.7275 3.7932 Å, 90.00 90.00 90.00°
Space group P4/mmm (No. 123)
One atom of each set of equivalent atoms:
Mg (0.0000, 0.0000, 0.0000) [1 per cell]
Fe (0.5000, 0.5000, 0.0000) [1 per cell]
Si (0.0000, 0.5000, 0.5000) [2 per cell]

---

Material: MgFe3Si
Method: DFT, PBE
State: optimized geometry

V (Å³ per atom): 15.524
Uncorrected formation energy (eV per atom): 0.449
Raw total energy (eV per formula unit): -30.162
Fermi-level density of states (states/eV per atom): 1.65

Cell: 4.2657 4.2657 4.2657 Å, 90.00 90.00 90.00°
Space group Pm-3m (No. 221)
One atom of each set of equivalent atoms:
Mg (0.0000, 0.0000, 0.0000) [1 per cell]
Fe (0.0000, 0.5000, 0.5000) [3 per cell]
Si (0.5000, 0.5000, 0.5000) [1 per cell]

---

Material: MgFeSi3
Method: DFT, PBE
State: optimized geometry

V (Å³ per atom): 22.229
Uncorrected formation energy (eV per atom): 1.544
Raw total energy (eV per formula unit): -18.607
Fermi-level density of states (states/eV per atom): 1.44

Cell: 4.8080 4.8080 4.8080 Å, 90.00 90.00 90.00°
Space group Pm-3m (No. 221)
One atom of each set of equivalent atoms:
Mg (0.0000, 0.0000, 0.0000) [1 per cell]
Fe (0.5000, 0.5000, 0.5000) [1 per cell]
Si (0.0000, 0.0000, 0.5000) [3 per cell]

---

Material: MgFe2Si
Method: DFT, PBE
State: optimized geometry

V (Å³ per atom): 13.271
Uncorrected formation energy (eV per atom): 0.015
Raw total energy (eV per formula unit): -23.882
Fermi-level density of states (states/eV per atom): 0.53

Cell: 2.6924 4.1108 4.9154 Å, 90.00 102.65 90.00°
Space group Pm (No. 6)
One atom of each set of equivalent atoms:
Mg (0.0000, 0.0000, 0.0000) [1 per cell]
Fe (0.3409, 0.5000, 0.7333) [1 per cell]
Fe (0.5221, 0.0000, 0.5034) [1 per cell]
Si (0.6781, 0.5000, 0.2929) [1 per cell]

---

Material: MgFeSi2
Method: DFT, PBE
State: optimized geometry

V (Å³ per atom): 13.709
Uncorrected formation energy (eV per atom): -0.135
Raw total energy (eV per formula unit): -21.443
Fermi-level density of states (states/eV per atom): 0.50

Cell: 2.7585 2.7585 7.2064 Å, 90.00 90.00 90.00°
Space group P4/mmm (No. 123)
One atom of each set of equivalent atoms:
Mg (0.0000, 0.0000, 0.0000) [1 per cell]
Fe (0.0000, 0.0000, 0.5000) [1 per cell]
Si (0.5000, 0.5000, 0.3035) [2 per cell]

---

Material: MgFe2Si
Method: DFT, PBE
State: optimized geometry

V (Å³ per atom): 12.731
Uncorrected formation energy (eV per atom): 0.008
Raw total energy (eV per formula unit): -23.910
Fermi-level density of states (states/eV per atom): 0.31

Cell: 5.8838 5.8838 5.8838 Å, 90.00 90.00 90.00°
Space group F-43m (No. 216)
One atom of each set of equivalent atoms:
Mg (0.0000, 0.0000, 0.0000) [4 per cell]
Fe (0.0000, 0.0000, 0.5000) [4 per cell]
Fe (0.2500, 0.2500, 0.2500) [4 per cell]
Si (0.2500, 0.2500, 0.7500) [4 per cell]

---

Material: Mg2FeSi
Method: DFT, PBE
State: optimized geometry

V (Å³ per atom): 15.431
Uncorrected formation energy (eV per atom): 0.134
Raw total energy (eV per formula unit): -16.539
Fermi-level density of states (states/eV per atom): 0.61

Cell: 3.8071 3.8188 8.4909 Å, 90.00 90.00 90.00°
Space group Immm (No. 71)
One atom of each set of equivalent atoms:
Mg (0.0000, 0.0000, 0.2501) [4 per cell]
Fe (0.0000, 0.5000, 0.0000) [2 per cell]
Si (0.0000, 0.5000, 0.5000) [2 per cell]

---

Material: Mg2FeSi
Method: DFT, PBE
State: optimized geometry

V (Å³ per atom): 23.101
Uncorrected formation energy (eV per atom): 0.390
Raw total energy (eV per formula unit): -15.513
Fermi-level density of states (states/eV per atom): 0.80

Cell: 9.2120 9.2120 4.3556 Å, 90.00 90.00 90.00°
Space group I-42d (No. 122)
One atom of each set of equivalent atoms:
Mg (0.0867, 0.7500, 0.1250) [8 per cell]
Fe (0.0000, 0.0000, 0.0000) [4 per cell]
Si (0.0000, 0.0000, 0.5000) [4 per cell]

---

Material: MgFeSiTc2
Method: DFT, PBE
State: optimized geometry

V (Å³ per atom): 17.272
Uncorrected formation energy (eV per atom): 1.028
Raw total energy (eV per formula unit): -31.070
Fermi-level density of states (states/eV per atom): 1.11

Cell: 4.3742 4.3742 4.5137 Å, 90.00 90.00 90.00°
Space group P4/mmm (No. 123)
One atom of each set of equivalent atoms:
Mg (0.0000, 0.0000, 0.0000) [1 per cell]
Fe (0.0000, 0.0000, 0.5000) [1 per cell]
Si (0.5000, 0.5000, 0.0000) [1 per cell]
Tc (0.0000, 0.5000, 0.5000) [2 per cell]

---

Material: MgVFeSi2
Method: DFT, PBE
State: optimized geometry

V (Å³ per atom): 18.316
Uncorrected formation energy (eV per atom): 0.627
Raw total energy (eV per formula unit): -26.885
Fermi-level density of states (states/eV per atom): 0.79

Cell: 4.5817 4.5817 4.3627 Å, 90.00 90.00 90.00°
Space group P4/mmm (No. 123)
One atom of each set of equivalent atoms:
Mg (0.0000, 0.0000, 0.0000) [1 per cell]
V (0.5000, 0.5000, 0.5000) [1 per cell]
Fe (0.5000, 0.5000, 0.0000) [1 per cell]
Si (0.0000, 0.5000, 0.5000) [2 per cell]

---

Material: Sm6MgFe2
Method: DFT, PBE
State: optimized geometry

V (Å³ per atom): 27.399
Raw total energy (eV per formula unit): -46.686
Fermi-level density of states (states/eV per atom): 1.17
Formation energy from the elements (eV per atom): 0.02

Cell: 9.7010 9.9150 10.2547 Å, 90.00 90.00 90.00°
Space group Immm (No. 71)
One atom of each set of equivalent atoms:
Sm (0.0000, 0.2152, 0.2254) [8 per cell]
Sm (0.2022, 0.5000, 0.1913) [8 per cell]
Sm (0.2100, 0.3125, 0.5000) [8 per cell]
Mg (0.0000, 0.0000, 0.0000) [2 per cell]
Mg (0.0000, 0.0000, 0.5000) [2 per cell]
Fe (0.0000, 0.3878, 0.0000) [4 per cell]
Fe (0.0000, 0.5000, 0.3941) [4 per cell]

---

Material: SmMgFe
Method: DFT, PBE
State: optimized geometry

V (Å³ per atom): 22.408
Raw total energy (eV per formula unit): -14.663
Fermi-level density of states (states/eV per atom): 1.14
Formation energy from the elements (eV per atom): 0.04

Cell: 13.5797 3.8328 5.3017 Å, 90.00 102.98 90.00°
Space group C2/m (No. 12)
One atom of each set of equivalent atoms:
Sm (0.1395, 0.0000, 0.3285) [4 per cell]
Mg (0.0793, 0.5000, 0.7928) [4 per cell]
Fe (0.2345, 0.0000, 0.9091) [4 per cell]

---

Material: Sm4MgFe
Method: DFT, PBE
State: optimized geometry

V (Å³ per atom): 28.736
Raw total energy (eV per formula unit): -28.732
Fermi-level density of states (states/eV per atom): 1.20
Formation energy from the elements (eV per atom): 0.03

Cell: 16.8769 7.2775 5.9741 Å, 90.00 109.97 90.00°
Space group C2/m (No. 12)
One atom of each set of equivalent atoms:
Sm (0.0000, 0.2373, 0.0000) [4 per cell]
Sm (0.1183, 0.2428, 0.6153) [8 per cell]
Sm (0.1829, 0.5000, 0.1974) [4 per cell]
Mg (0.1932, 0.0000, 0.1897) [4 per cell]
Fe (0.0196, 0.5000, 0.3392) [4 per cell]

---

Material: Mg2FeSn2
Method: DFT, PBE
State: optimized geometry

V (Å³ per atom): 21.626
Raw total energy (eV per formula unit): -19.116
Fermi-level density of states (states/eV per atom): 0.57
Formation energy from the elements (eV per atom): 0.11

Cell: 6.9408 6.9408 4.4890 Å, 90.00 90.00 90.00°
Space group P4/mbm (No. 127)
One atom of each set of equivalent atoms:
Mg (0.1645, 0.3355, 0.0000) [4 per cell]
Fe (0.0000, 0.0000, 0.5000) [2 per cell]
Sn (0.1517, 0.6517, 0.5000) [4 per cell]

---

Material: MgFe3Sn
Method: DFT, PBE
State: optimized geometry

V (Å³ per atom): 21.927
Raw total energy (eV per formula unit): -25.012
Fermi-level density of states (states/eV per atom): 1.70
Formation energy from the elements (eV per atom): 1.19

Cell: 4.7861 4.7861 4.7861 Å, 90.00 90.00 90.00°
Space group Pm-3m (No. 221)
One atom of each set of equivalent atoms:
Mg (0.0000, 0.0000, 0.0000) [1 per cell]
Fe (0.0000, 0.5000, 0.5000) [3 per cell]
Sn (0.5000, 0.5000, 0.5000) [1 per cell]

---

Material: MgFeSn6
Method: DFT, PBE
State: optimized geometry

V (Å³ per atom): 25.551
Raw total energy (eV per formula unit): -33.202
Fermi-level density of states (states/eV per atom): 0.65
Formation energy from the elements (eV per atom): 0.11

Cell: 7.3200 9.1442 6.2220 Å, 90.00 101.00 90.00°
Space group C2/m (No. 12)
One atom of each set of equivalent atoms:
Mg (0.0000, 0.0000, 0.0000) [2 per cell]
Fe (0.0000, 0.5000, 0.5000) [2 per cell]
Sn (0.0968, 0.3040, 0.7994) [8 per cell]
Sn (0.1922, 0.0000, 0.6264) [4 per cell]

---

Material: Mg2FeSn
Method: DFT, PBE
State: optimized geometry

V (Å³ per atom): 19.452
Raw total energy (eV per formula unit): -13.544
Fermi-level density of states (states/eV per atom): 1.74
Formation energy from the elements (eV per atom): 0.53

Cell: 3.9624 3.9624 19.8233 Å, 90.00 90.00 90.00°
Space group I-42d (No. 122)
One atom of each set of equivalent atoms:
Mg (0.2306, 0.2500, 0.1250) [8 per cell]
Fe (0.0000, 0.0000, 0.0000) [4 per cell]
Sn (0.0000, 0.0000, 0.5000) [4 per cell]

---

Material: Mg2FeSn
Method: DFT, PBE
State: optimized geometry

V (Å³ per atom): 21.501
Raw total energy (eV per formula unit): -13.670
Fermi-level density of states (states/eV per atom): 0.82
Formation energy from the elements (eV per atom): 0.50

Cell: 3.0517 3.0517 31.9906 Å, 90.00 90.00 120.00°
Space group R-3m (No. 166, hexagonal axes)
One atom of each set of equivalent atoms:
Mg (0.0000, 0.0000, 0.0813) [6 per cell]
Fe (0.0000, 0.0000, 0.0000) [3 per cell]
Sn (0.0000, 0.0000, 0.5000) [3 per cell]

---

Material: Mg3FeSn
Method: DFT, PBE
State: optimized geometry

V (Å³ per atom): 29.951
Raw total energy (eV per formula unit): -12.480
Fermi-level density of states (states/eV per atom): 1.45
Formation energy from the elements (eV per atom): 0.95

Cell: 5.3104 5.3104 5.3104 Å, 90.00 90.00 90.00°
Space group Pm-3m (No. 221)
One atom of each set of equivalent atoms:
Mg (0.0000, 0.0000, 0.5000) [3 per cell]
Fe (0.5000, 0.5000, 0.5000) [1 per cell]
Sn (0.0000, 0.0000, 0.0000) [1 per cell]